# PmSnO4 | Alexandria via LeMat-Bulk | PBE | optimized geometry
data_PmSnO4
_chemical_formula_sum 'Pm4 Sn4 O16'
_cell_length_a 5.519
_cell_length_b 5.519
_cell_length_c 10.985
_cell_angle_alpha 90.00
_cell_angle_beta 90.00
_cell_angle_gamma 90.00
_space_group_name_H-M_alt 'I 41/a'
_space_group_IT_number 88
loop_
_space_group_symop_operation_xyz
'x,y,z'
'-x,-y,-z'
'-y+3/4,x+1/4,z+1/4'
'y+3/4,-x+1/4,-z+1/4'
'-x+1/2,-y,z+1/2'
'x+1/2,y,-z+1/2'
'y+3/4,-x+3/4,z+3/4'
'-y+3/4,x+3/4,-z+3/4'
'x+1/2,y+1/2,z+1/2'
'-x+1/2,-y+1/2,-z+1/2'
'-y+1/4,x+3/4,z+3/4'
'y+1/4,-x+3/4,-z+3/4'
'-x,-y+1/2,z'
'x,y+1/2,-z'
'y+1/4,-x+1/4,z+1/4'
'-y+1/4,x+1/4,-z+1/4'
loop_
_atom_site_label
_atom_site_type_symbol
_atom_site_fract_x
_atom_site_fract_y
_atom_site_fract_z
Pm1 Pm 0.000 0.250 0.125
Sn1 Sn 0.000 0.250 0.625
O1 O 0.191 0.001 0.718
# **Formation energy (no corrections)**: -2090 meV per atom
# **Size of the total moment**: 1.03 μB/f.u.


# Pm4SnO3 | Alexandria via LeMat-Bulk | PBE | optimized geometry
data_Pm4SnO3
_chemical_formula_sum 'Pm8 Sn2 O6'
_cell_length_a 7.066
_cell_length_b 7.066
_cell_length_c 7.066
_cell_angle_alpha 90.00
_cell_angle_beta 90.00
_cell_angle_gamma 90.00
_space_group_name_H-M_alt 'P m -3 n'
_space_group_IT_number 223
_space_group_name_Hall '-P 4n 2 3'
loop_
_atom_site_label
_atom_site_type_symbol
_atom_site_fract_x
_atom_site_fract_y
_atom_site_fract_z
Pm1 Pm 0.250 0.250 0.250
Sn1 Sn 0.000 0.000 0.000
O1 O 0.000 0.250 0.500
# **Formation energy (no corrections)**: -1831 meV per atom
# **Size of the total moment**: 0.00 μB/f.u.


# Tb4Pm2Sn3O2 | Alexandria via LeMat-Bulk | PBE | optimized geometry
data_Tb4Pm2Sn3O2
_chemical_formula_sum 'Tb8 Pm4 Sn6 O4'
_cell_length_a 4.683
_cell_length_b 4.683
_cell_length_c 25.466
_cell_angle_alpha 90.00
_cell_angle_beta 90.00
_cell_angle_gamma 90.00
_space_group_name_H-M_alt 'I 4/m m m'
_space_group_IT_number 139
_space_group_name_Hall '-I 4 2'
loop_
_atom_site_label
_atom_site_type_symbol
_atom_site_fract_x
_atom_site_fract_y
_atom_site_fract_z
Tb1 Tb 0.000 0.500 0.082
Pm1 Pm 0.000 0.000 0.195
Sn1 Sn 0.000 0.000 0.324
Sn2 Sn 0.000 0.000 0.500
O1 O 0.000 0.000 0.095
# **Formation energy (no corrections)**: -1532 meV per atom
# **Size of the total moment**: 0.00 μB/f.u.


| no. | DOS at the Fermi energy (states/eV per cell) |
| --- | --- |
| 1 | 10.9 |
| 2 | 4.6 |
| 3 | 14.6 |